Entry 1:
# BaCNF2 | the Alexandria database | GGA-PBE | relaxed
# excess energy over the best structure of this formula in the dataset	0.000	eV per atom
# formation energy (no corrections)	-4.2	eV per formula unit
data_BaCNF2
_cell_length_a 4.857
_cell_length_b 4.857
_cell_length_c 2.704
_cell_angle_alpha 90.00
_cell_angle_beta 90.00
_cell_angle_gamma 90.00
_symmetry_space_group_name_H-M 'P 4/m m m'
_symmetry_Int_Tables_number 123
_symmetry_space_group_name_Hall '-P 4 2'
loop_
_atom_site_label
_atom_site_fract_x
_atom_site_fract_y
_atom_site_fract_z
Ba1 0.000 0.000 0.000
C1 0.500 0.500 0.500
N1 0.500 0.500 0.000
F1 0.000 0.500 0.500

---

Entry 2:
# BaCNF2 | the Alexandria database | GGA-PBE | relaxed
# excess energy over the best structure of this formula in the dataset	1.334	eV per atom
# formation energy (no corrections)	2.4	eV per formula unit
data_BaCNF2
_cell_length_a 4.974
_cell_length_b 4.974
_cell_length_c 6.188
_cell_angle_alpha 90.00
_cell_angle_beta 90.00
_cell_angle_gamma 90.00
_symmetry_space_group_name_H-M 'P 4/m m m'
_symmetry_Int_Tables_number 123
_symmetry_space_group_name_Hall '-P 4 2'
loop_
_atom_site_label
_atom_site_fract_x
_atom_site_fract_y
_atom_site_fract_z
Ba1 0.000 0.000 0.000
C1 0.500 0.500 0.500
N1 0.000 0.000 0.500
F1 0.000 0.500 0.000

---

Entry 3:
# BaCO2F | the Alexandria database | GGA-PBE | relaxed
# formation energy (no corrections)	3.4	eV per formula unit
data_BaCO2F
_cell_length_a 5.121
_cell_length_b 5.121
_cell_length_c 4.888
_cell_angle_alpha 90.00
_cell_angle_beta 90.00
_cell_angle_gamma 90.00
_symmetry_space_group_name_H-M 'P 4/m m m'
_symmetry_Int_Tables_number 123
_symmetry_space_group_name_Hall '-P 4 2'
loop_
_atom_site_label
_atom_site_fract_x
_atom_site_fract_y
_atom_site_fract_z
Ba1 0.000 0.000 0.000
C1 0.500 0.500 0.500
O1 0.000 0.500 0.000
F1 0.000 0.000 0.500

---

Entry 4:
# BaCO2F | the Alexandria database | GGA-PBE | relaxed
# formation energy (no corrections)	-3.8	eV per formula unit
data_BaCO2F
_cell_length_a 3.693
_cell_length_b 3.693
_cell_length_c 4.497
_cell_angle_alpha 90.00
_cell_angle_beta 90.00
_cell_angle_gamma 90.00
_symmetry_space_group_name_H-M 'P 4/m m m'
_symmetry_Int_Tables_number 123
_symmetry_space_group_name_Hall '-P 4 2'
loop_
_atom_site_label
_atom_site_fract_x
_atom_site_fract_y
_atom_site_fract_z
Ba1 0.000 0.000 0.000
C1 0.500 0.500 0.500
O1 0.000 0.500 0.500
F1 0.500 0.500 0.000

---

Entry 5:
# BaPb2C2O6F2 | the Alexandria database | GGA-PBE | relaxed
# formation energy (no corrections)	-25.5	eV per formula unit
data_BaPb2C2O6F2
_cell_length_a 5.2390
_cell_length_b 5.2390
_cell_length_c 24.4390
_cell_angle_alpha 90.00
_cell_angle_beta 90.00
_cell_angle_gamma 120.00
_symmetry_space_group_name_H-M 'R -3 m'
_symmetry_Int_Tables_number 166
_symmetry_space_group_name_Hall '-R 3 2"'
loop_
_atom_site_label
_atom_site_fract_x
_atom_site_fract_y
_atom_site_fract_z
Ba1 0.0000 0.0000 0.0000
Pb1 0.0000 0.0000 0.2183
C1 0.0000 0.0000 0.4281
O1 0.0469 0.5235 0.2378
F1 0.0000 0.0000 0.3098

---

Entry 6:
# BaSmC2O6F | the Alexandria database | GGA-PBE | relaxed
# formation energy (no corrections)	-27.3	eV per formula unit
data_BaSmC2O6F
_cell_length_a 5.0672
_cell_length_b 5.0672
_cell_length_c 38.4330
_cell_angle_alpha 90.00
_cell_angle_beta 90.00
_cell_angle_gamma 120.00
_symmetry_space_group_name_H-M 'R -3 m'
_symmetry_Int_Tables_number 166
_symmetry_space_group_name_Hall '-R 3 2"'
loop_
_atom_site_label
_atom_site_fract_x
_atom_site_fract_y
_atom_site_fract_z
Ba1 0.0000 0.0000 0.0000
Ba2 0.0000 0.0000 0.5000
Sm1 0.0000 0.0000 0.2451
C1 0.0000 0.0000 0.1065
C2 0.0000 0.0000 0.3747
O1 0.0379 0.5190 0.0404
O2 0.0387 0.5193 0.7723
F1 0.0000 0.0000 0.1859

---

Entry 7:
# BaOs2CF | the Alexandria database | GGA-PBE | relaxed
# formation energy (no corrections)	9.8	eV per formula unit
data_BaOs2CF
_cell_length_a 4.163
_cell_length_b 4.163
_cell_length_c 5.381
_cell_angle_alpha 90.00
_cell_angle_beta 90.00
_cell_angle_gamma 90.00
_symmetry_space_group_name_H-M 'P 4/m m m'
_symmetry_Int_Tables_number 123
_symmetry_space_group_name_Hall '-P 4 2'
loop_
_atom_site_label
_atom_site_fract_x
_atom_site_fract_y
_atom_site_fract_z
Ba1 0.000 0.000 0.000
Os1 0.000 0.500 0.500
C1 0.500 0.500 0.000
F1 0.000 0.000 0.500

---

Entry 8:
# Rb2BaCF6 | the Alexandria database | GGA-PBE | relaxed
# formation energy (no corrections)	-20.3	eV per formula unit
data_Rb2BaCF6
_cell_length_a 9.051
_cell_length_b 9.051
_cell_length_c 9.051
_cell_angle_alpha 90.00
_cell_angle_beta 90.00
_cell_angle_gamma 90.00
_symmetry_space_group_name_H-M 'F m -3 m'
_symmetry_Int_Tables_number 225
_symmetry_space_group_name_Hall '-F 4 2 3'
loop_
_atom_site_label
_atom_site_fract_x
_atom_site_fract_y
_atom_site_fract_z
Rb1 0.250 0.250 0.250
Ba1 0.000 0.000 0.000
C1 0.000 0.000 0.500
F1 0.000 0.000 0.280

---

Entry 9:
# BaFeC3 | the Alexandria database | GGA-PBE | relaxed
# excess energy over the best structure of this formula in the dataset	2.711	eV per atom
# formation energy from the elements	4.229	eV per atom
data_BaFeC3
_cell_length_a 4.588
_cell_length_b 4.588
_cell_length_c 4.588
_cell_angle_alpha 90.00
_cell_angle_beta 90.00
_cell_angle_gamma 90.00
_symmetry_space_group_name_H-M 'P m -3 m'
_symmetry_Int_Tables_number 221
_symmetry_space_group_name_Hall '-P 4 2 3'
loop_
_atom_site_label
_atom_site_fract_x
_atom_site_fract_y
_atom_site_fract_z
Ba1 0.000 0.000 0.000
Fe1 0.500 0.500 0.500
C1 0.000 0.000 0.500

---

Entry 10:
# BaFe2C2 | the Alexandria database | GGA-PBE | relaxed
# formation energy from the elements	-0.003	eV per atom
data_BaFe2C2
_cell_length_a 3.540
_cell_length_b 3.540
_cell_length_c 11.296
_cell_angle_alpha 90.00
_cell_angle_beta 90.00
_cell_angle_gamma 90.00
_symmetry_space_group_name_H-M 'I 4/m m m'
_symmetry_Int_Tables_number 139
_symmetry_space_group_name_Hall '-I 4 2'
loop_
_atom_site_label
_atom_site_fract_x
_atom_site_fract_y
_atom_site_fract_z
Ba1 0.000 0.000 0.000
Fe1 0.000 0.500 0.250
C1 0.000 0.000 0.316

---

Entry 11:
# BaFeC | the Alexandria database | GGA-PBE | relaxed
# formation energy from the elements	0.053	eV per atom
data_BaFeC
_cell_length_a 3.567
_cell_length_b 3.567
_cell_length_c 9.680
_cell_angle_alpha 90.00
_cell_angle_beta 90.00
_cell_angle_gamma 90.00
_symmetry_space_group_name_H-M 'P 4/n m m'
_symmetry_Int_Tables_number 129
loop_
_symmetry_equiv_pos_as_xyz
'x,y,z'
'-x,-y,-z'
'-y+1/2,x,z'
'y+1/2,-x,-z'
'-x+1/2,-y+1/2,z'
'x+1/2,y+1/2,-z'
'y,-x+1/2,z'
'-y,x+1/2,-z'
'x+1/2,-y,-z'
'-x+1/2,y,z'
'-y,-x,-z'
'y,x,z'
'-x,y+1/2,-z'
'x,-y+1/2,z'
'y+1/2,x+1/2,-z'
'-y+1/2,-x+1/2,z'
loop_
_atom_site_label
_atom_site_fract_x
_atom_site_fract_y
_atom_site_fract_z
Ba1 0.250 0.250 0.221
Fe1 0.250 0.750 0.500
C1 0.250 0.250 0.579

---

Entry 12:
# BaFeC2 | the Alexandria database | GGA-PBE | relaxed
# formation energy from the elements	0.259	eV per atom
data_BaFeC2
_cell_length_a 5.054
_cell_length_b 5.054
_cell_length_c 10.091
_cell_angle_alpha 90.00
_cell_angle_beta 90.00
_cell_angle_gamma 90.00
_symmetry_space_group_name_H-M 'I 41/a m d'
_symmetry_Int_Tables_number 141
loop_
_symmetry_equiv_pos_as_xyz
'x,y,z'
'-x,-y,-z'
'-y+1/4,x+3/4,z+1/4'
'y+1/4,-x+3/4,-z+1/4'
'-x+1/2,-y,z+1/2'
'x+1/2,y,-z+1/2'
'y+1/4,-x+1/4,z+3/4'
'-y+1/4,x+1/4,-z+3/4'
'x,-y,-z'
'-x,y,z'
'-y+1/4,-x+1/4,-z+3/4'
'y+1/4,x+1/4,z+3/4'
'-x+1/2,y,-z+1/2'
'x+1/2,-y,z+1/2'
'y+1/4,x+3/4,-z+1/4'
'-y+1/4,-x+3/4,z+1/4'
'x+1/2,y+1/2,z+1/2'
'-x+1/2,-y+1/2,-z+1/2'
'-y+3/4,x+1/4,z+3/4'
'y+3/4,-x+1/4,-z+3/4'
'-x,-y+1/2,z'
'x,y+1/2,-z'
'y+3/4,-x+3/4,z+1/4'
'-y+3/4,x+3/4,-z+1/4'
'x+1/2,-y+1/2,-z+1/2'
'-x+1/2,y+1/2,z+1/2'
'-y+3/4,-x+3/4,-z+1/4'
'y+3/4,x+3/4,z+1/4'
'-x,y+1/2,-z'
'x,-y+1/2,z'
'y+3/4,x+1/4,-z+3/4'
'-y+3/4,-x+1/4,z+3/4'
loop_
_atom_site_label
_atom_site_fract_x
_atom_site_fract_y
_atom_site_fract_z
Ba1 0.000 0.250 0.375
Fe1 0.000 0.250 0.875
C1 0.000 0.000 0.000

---

What did the tenth record say?
# BaFe2C2 | the Alexandria database | GGA-PBE | relaxed
# formation energy from the elements	-0.003	eV per atom
data_BaFe2C2
_cell_length_a 3.540
_cell_length_b 3.540
_cell_length_c 11.296
_cell_angle_alpha 90.00
_cell_angle_beta 90.00
_cell_angle_gamma 90.00
_symmetry_space_group_name_H-M 'I 4/m m m'
_symmetry_Int_Tables_number 139
_symmetry_space_group_name_Hall '-I 4 2'
loop_
_atom_site_label
_atom_site_fract_x
_atom_site_fract_y
_atom_site_fract_z
Ba1 0.000 0.000 0.000
Fe1 0.000 0.500 0.250
C1 0.000 0.000 0.316

---

What did the first record say?
# BaCNF2 | the Alexandria database | GGA-PBE | relaxed
# excess energy over the best structure of this formula in the dataset	0.000	eV per atom
# formation energy (no corrections)	-4.2	eV per formula unit
data_BaCNF2
_cell_length_a 4.857
_cell_length_b 4.857
_cell_length_c 2.704
_cell_angle_alpha 90.00
_cell_angle_beta 90.00
_cell_angle_gamma 90.00
_symmetry_space_group_name_H-M 'P 4/m m m'
_symmetry_Int_Tables_number 123
_symmetry_space_group_name_Hall '-P 4 2'
loop_
_atom_site_label
_atom_site_fract_x
_atom_site_fract_y
_atom_site_fract_z
Ba1 0.000 0.000 0.000
C1 0.500 0.500 0.500
N1 0.500 0.500 0.000
F1 0.000 0.500 0.500